No. 1
Entry from Alexandria via LeMat-Bulk: an optimized crystal structure of Cs2Hg2Te (PBE).

a = 9.068 Å, b = 9.068 Å, c = 5.341 Å
α = 90.00°, β = 90.00°, γ = 90.00°
Atoms (fractional coordinates):
Cs  0.186  0.686  0.500
Cs  0.686  0.814  0.500
Cs  0.814  0.314  0.500
Cs  0.314  0.186  0.500
Te  0.000  0.000  0.000
Te  0.500  0.500  0.000
Hg  0.376  0.876  0.000
Hg  0.876  0.624  0.000
Hg  0.624  0.124  0.000
Hg  0.124  0.376  0.000

D(E_F), states/eV per cell: 1.8
VASP energy, eV per atom: -1.584
Theoretical density, g cm⁻³: 6.009
Relative energy among the computed polymorphs, eV per formula unit: 0.45
Formation energy (no corrections), eV per atom: -0.49

---

No. 2
Entry from Alexandria via LeMat-Bulk: an optimized crystal structure of Cs5Hg12Te3 (PBE).

a = 17.991 Å, b = 17.991 Å, c = 17.991 Å
α = 109.47°, β = 109.47°, γ = 109.47°
Atoms (fractional coordinates):
Te  0.750  0.375  0.125
Te  0.875  0.750  0.125
Te  0.375  0.750  0.625
Te  0.250  0.125  0.375
Te  0.875  0.125  0.250
Te  0.375  0.625  0.250
Te  0.625  0.375  0.750
Te  0.125  0.875  0.750
Te  0.750  0.875  0.625
Te  0.625  0.250  0.375
Te  0.125  0.250  0.875
Te  0.250  0.625  0.875
Cs  0.125  0.375  0.250
Cs  0.000  0.500  0.000
Cs  0.000  0.000  0.000
Cs  0.375  0.250  0.125
Cs  0.500  0.000  0.500
Cs  0.500  0.500  0.000
Cs  0.125  0.750  0.375
Cs  0.750  0.125  0.875
Cs  0.750  0.625  0.375
Cs  0.375  0.125  0.750
Cs  0.625  0.875  0.250
Cs  0.500  0.500  0.500
Cs  0.500  0.000  0.000
Cs  0.000  0.000  0.500
Cs  0.250  0.375  0.625
Cs  0.250  0.875  0.125
Cs  0.000  0.500  0.500
Cs  0.875  0.250  0.625
Cs  0.625  0.750  0.875
Cs  0.875  0.625  0.750
Hg  0.749  0.124  0.082
Hg  0.332  0.582  0.458
Hg  0.918  0.376  0.251
Hg  0.582  0.249  0.124
Hg  0.625  0.749  0.668
Hg  0.918  0.542  0.168
Hg  0.332  0.751  0.375
Hg  0.042  0.875  0.124
Hg  0.542  0.918  0.668
Hg  0.749  0.625  0.168
Hg  0.751  0.418  0.376
Hg  0.832  0.958  0.082
Hg  0.124  0.749  0.582
Hg  0.376  0.458  0.125
Hg  0.125  0.958  0.376
Hg  0.375  0.124  0.542
Hg  0.125  0.168  0.249
Hg  0.418  0.668  0.042
Hg  0.832  0.875  0.251
Hg  0.124  0.375  0.042
Hg  0.376  0.918  0.751
Hg  0.542  0.624  0.375
Hg  0.958  0.832  0.582
Hg  0.751  0.332  0.875
Hg  0.458  0.376  0.625
Hg  0.042  0.168  0.418
Hg  0.249  0.668  0.125
Hg  0.168  0.125  0.749
Hg  0.624  0.082  0.249
Hg  0.876  0.625  0.958
Hg  0.582  0.332  0.958
Hg  0.625  0.876  0.458
Hg  0.875  0.832  0.751
Hg  0.875  0.042  0.624
Hg  0.876  0.251  0.418
Hg  0.168  0.042  0.918
Hg  0.624  0.542  0.875
Hg  0.458  0.082  0.332
Hg  0.251  0.375  0.832
Hg  0.249  0.582  0.624
Hg  0.958  0.125  0.876
Hg  0.668  0.249  0.625
Hg  0.418  0.751  0.876
Hg  0.082  0.458  0.832
Hg  0.375  0.251  0.332
Hg  0.082  0.624  0.749
Hg  0.668  0.418  0.542
Hg  0.251  0.876  0.918

D(E_F), states/eV per cell: 79.1
VASP energy, eV per atom: -1.058
Theoretical density, g cm⁻³: 5.118
Formation energy (no corrections), eV per atom: -0.19

---

No. 3
Entry from Alexandria via LeMat-Bulk: an optimized crystal structure of CsHg2Te (PBE).

a = 9.565 Å, b = 9.565 Å, c = 7.756 Å
α = 51.93°, β = 51.93°, γ = 90.00°
Atoms (fractional coordinates):
Cs  0.000  0.000  0.000
Cs  0.750  0.250  0.500
Te  0.500  0.500  0.000
Te  0.250  0.750  0.500
Hg  0.555  0.125  0.250
Hg  0.195  0.625  0.250
Hg  0.375  0.445  0.750
Hg  0.875  0.805  0.750

D(E_F), states/eV per cell: 6.9
VASP energy, eV per atom: -1.442
Theoretical density, g cm⁻³: 6.329
Formation energy (no corrections), eV per atom: -0.29

---

No. 4
Entry from Alexandria via LeMat-Bulk: an optimized crystal structure of CsHg3Te3 (PBE).

a = 8.655 Å, b = 8.655 Å, c = 10.380 Å
α = 65.36°, β = 65.36°, γ = 60.00°
Atoms (fractional coordinates):
Cs  0.333  0.333  0.000
Cs  0.667  0.667  0.000
Hg  0.454  0.783  0.643
Hg  0.783  0.120  0.643
Hg  0.120  0.454  0.643
Hg  0.880  0.546  0.357
Hg  0.217  0.880  0.357
Hg  0.546  0.217  0.357
Te  0.233  0.569  0.295
Te  0.902  0.233  0.295
Te  0.569  0.902  0.295
Te  0.431  0.098  0.705
Te  0.098  0.767  0.705
Te  0.767  0.431  0.705

D(E_F), states/eV per cell: 5.1
VASP energy, eV per atom: -1.911
Theoretical density, g cm⁻³: 6.287
Relative energy among the computed polymorphs, eV per formula unit: 0.00
Formation energy (no corrections), eV per atom: -0.31

---

No. 5
Entry from Alexandria via LeMat-Bulk: an optimized crystal structure of CsHgTe (PBE).

a = 4.430 Å, b = 4.430 Å, c = 7.095 Å
α = 108.19°, β = 108.19°, γ = 90.00°
Atoms (fractional coordinates):
Cs  0.954  0.954  0.909
Te  0.665  0.665  0.330
Hg  0.231  0.231  0.461

D(E_F), states/eV per cell: 1.5
VASP energy, eV per atom: -1.848
Theoretical density, g cm⁻³: 6.128
Relative energy among the computed polymorphs, eV per formula unit: 0.71
Formation energy (no corrections), eV per atom: -0.42

---

No. 6
Entry from Alexandria via LeMat-Bulk: an optimized crystal structure of Cs4Hg2Te (PBE).

a = 7.256 Å, b = 7.256 Å, c = 12.112 Å
α = 72.57°, β = 72.57°, γ = 90.00°
Atoms (fractional coordinates):
Cs  0.685  0.685  0.631
Cs  0.315  0.315  0.369
Cs  0.000  0.500  0.000
Cs  0.500  0.000  0.000
Te  0.000  0.000  0.000
Hg  0.143  0.143  0.714
Hg  0.857  0.857  0.286

D(E_F), states/eV per cell: 7.9
VASP energy, eV per atom: -1.340
Theoretical density, g cm⁻³: 3.048
Formation energy (no corrections), eV per atom: -0.32

---

> D(E_F) of number 5 (CsHgTe)?

1.5 states/eV per cell

---

Repeat the sixth record exactly.
Entry from Alexandria via LeMat-Bulk: an optimized crystal structure of Cs4Hg2Te (PBE).

a = 7.256 Å, b = 7.256 Å, c = 12.112 Å
α = 72.57°, β = 72.57°, γ = 90.00°
Atoms (fractional coordinates):
Cs  0.685  0.685  0.631
Cs  0.315  0.315  0.369
Cs  0.000  0.500  0.000
Cs  0.500  0.000  0.000
Te  0.000  0.000  0.000
Hg  0.143  0.143  0.714
Hg  0.857  0.857  0.286

D(E_F), states/eV per cell: 7.9
VASP energy, eV per atom: -1.340
Theoretical density, g cm⁻³: 3.048
Formation energy (no corrections), eV per atom: -0.32

---

> Among the records above, which one has the highest theoretical density?

CsHg2Te